# Co2TcP

A geometry-optimized Co2TcP structure (GGA-PBE, the Alexandria database).

Geometry as POSCAR:
```
Co2TcP
1.0
-2.535 -0.531 -2.209
-1.362 -1.391 1.897
-2.943 3.637 2.504
P Tc Co
1 1 2
direct
0.000 0.722 0.432 P
0.500 0.554 0.766 Tc
0.500 0.290 0.296 Co
0.000 0.934 0.007 Co
```

## Properties
Total DFT energy (no corrections) in eV/cell: -30.8
SG: Amm2
Calculated formation energy in eV/f.u.: -0.833
Crystal system: orthorhombic